# 1
4
Lattice="3.5081 0.0000 0.0000 -1.7541 3.0381 0.0000 0.0000 0.0000 4.3821" Properties=species:S:1:pos:R:3 comment="PBE TcC, relaxed" magmom_total_mub_per_atom=0.0001 rho_g_cm3=7.823 delta_e_f_ev_per_fu=0.91 polymorph_energy_ev_per_fu=0.47 pbc="T T T"
Tc 0.0000 2.0254 1.0955
Tc 1.7541 1.0127 3.2866
C 0.0000 2.0254 3.2866
C 1.7541 1.0127 1.0955

---

# 2
12
Lattice="5.6396 0.0000 0.0000 0.0000 5.6396 0.0000 0.0000 0.0000 5.6396" Properties=species:S:1:pos:R:3 comment="PBE TcC, relaxed" magmom_total_mub_per_atom=0.1885 rho_g_cm3=6.111 delta_e_f_ev_per_fu=1.15 polymorph_energy_ev_per_fu=0.71 pbc="T T T"
Tc 0.0000 1.4099 2.8198
Tc 0.0000 4.2297 2.8198
Tc 1.4099 2.8198 0.0000
Tc 2.8198 0.0000 1.4099
Tc 2.8198 0.0000 4.2297
Tc 4.2297 2.8198 0.0000
C 0.0000 2.8198 1.4099
C 0.0000 2.8198 4.2297
C 1.4099 0.0000 2.8198
C 2.8198 1.4099 0.0000
C 2.8198 4.2297 0.0000
C 4.2297 0.0000 2.8198

---

Short version: density of states at the Fermi level = 1.56, 1.31 states/eV/f.u., in the order given.